The following is a DFT calculation (PBE) of a relaxed structure of Ac6Bi2Te3As.

Cell lengths 10.648, 10.648, 9.541 Å; angles 102.88, 102.88, 25.74 degrees
Element x y z (fractional)
Ac  0.001  0.001  0.273
Ac  0.334  0.334  0.918
Ac  0.344  0.344  0.422
Ac  0.656  0.656  0.578
Ac  0.666  0.666  0.082
Ac  0.999  0.999  0.727
Bi  0.167  0.167  0.833
Bi  0.833  0.833  0.167
Te  0.170  0.170  0.335
Te  0.500  0.500  0.000
Te  0.830  0.830  0.665
As  0.500  0.500  0.500

Calculated total energy   -5.233 eV/atom
Volume   457.4 Å³ per cell
Crystal system   monoclinic
Space group   No. 12


The following is a DFT calculation (PBE) of a relaxed structure of Ac6BiTe2As3.

Cell lengths 10.478, 10.478, 9.394 Å; angles 104.06, 104.06, 25.56 degrees
Element x y z (fractional)
Ac  0.005  0.005  0.239
Ac  0.329  0.329  0.431
Ac  0.339  0.339  0.903
Ac  0.661  0.661  0.097
Ac  0.671  0.671  0.569
Ac  0.995  0.995  0.761
Bi  0.500  0.500  0.500
Te  0.168  0.168  0.835
Te  0.832  0.832  0.165
As  0.167  0.167  0.332
As  0.500  0.500  0.000
As  0.833  0.833  0.668

Calculated total energy   -5.521 eV/atom
Volume   431.0 Å³ per cell
Crystal system   monoclinic
Space group   No. 12


The following is a DFT calculation (PBE) of a relaxed structure of Ac4Bi2TeAs.

Cell lengths 8.224, 4.759, 8.272 Å; angles 90.00, 109.40, 90.00 degrees
Element x y z (fractional)
Ac  0.238  0.000  0.236
Ac  0.244  0.500  0.760
Ac  0.756  0.500  0.240
Ac  0.762  0.000  0.764
Bi  0.500  0.000  0.000
Bi  0.500  0.500  0.500
Te  0.000  0.000  0.500
As  0.000  0.500  0.000

Calculated total energy   -5.257 eV/atom
Volume   305.4 Å³ per cell
Crystal system   monoclinic
Space group   No. 10